(1)
TaNiHg2: optimized geometry, PBE-GGA.

abc: 3.0358 3.0358 27.1461
angles: 90.00 90.00 120.00
Space group R-3m (No. 166, hexagonal axes)
Asymmetric unit:
Ta: 0.0000 0.0000 0.0000
Ni: 0.0000 0.0000 0.5000
Hg: 0.0000 0.0000 0.2424

## Properties
Raw total energy: -0.15281 hartree per atom



(2)
Ta2NiHg: optimized geometry, PBE-GGA.

abc: 9.774 2.902 4.947
angles: 90.00 101.67 90.00
Space group C2/m (No. 12)
Asymmetric unit:
Ta: 0.242 0.000 0.235
Ni: 0.000 0.500 0.000
Hg: 0.000 0.000 0.500

## Properties
Raw total energy: -0.26300 hartree per atom



(3)
TaNiHg2: optimized geometry, PBE-GGA.

abc: 7.436 7.436 5.555
angles: 90.00 90.00 90.00
Space group I-42d (No. 122)
Asymmetric unit:
Ta: 0.000 0.000 0.000
Ni: 0.000 0.000 0.500
Hg: 0.222 0.250 0.625

## Properties
Raw total energy: -0.14103 hartree per atom



(4)
TaNi4Hg: optimized geometry, PBE-GGA.

abc: 6.818 6.818 6.818
angles: 90.00 90.00 90.00
Space group F-43m (No. 216)
Asymmetric unit:
Ta: 0.000 0.000 0.000
Ni: 0.125 0.125 0.375
Hg: 0.250 0.250 0.750

## Properties
Raw total energy: -0.21924 hartree per atom



no.,energy of formation (meV/atom),magnetization (μB/cell),density (g/cm³)
1,401,0.0,14.7
2,290,0.0,15.0
3,722,0.0,13.9
4,-86,0.0,12.9